PmNd3Pd12: relaxed, PBE. Values from VASP.

Values from the calculation:
Formation enthalpy at 0 K in kJ/mol of formula units: -1192.5
Volume in Å³/f.u.: 296
Space group: No. 123

```
&SYSTEM
  ibrav = 0, nat = 16, ntyp = 3
/
ATOMIC_SPECIES
Pm 145.00 Pm.upf
Nd 144.24 Nd.upf
Pd 106.42 Pd.upf
ATOMIC_POSITIONS crystal
Pm 0.000 0.000 0.000
Nd 0.000 0.000 0.249
Nd 0.000 0.000 0.500
Nd 0.000 0.000 0.751
Pd 0.000 0.500 0.124
Pd 0.000 0.500 0.375
Pd 0.000 0.500 0.625
Pd 0.000 0.500 0.876
Pd 0.500 0.000 0.124
Pd 0.500 0.000 0.375
Pd 0.500 0.000 0.625
Pd 0.500 0.000 0.876
Pd 0.500 0.500 0.000
Pd 0.500 0.500 0.250
Pd 0.500 0.500 0.500
Pd 0.500 0.500 0.750
CELL_PARAMETERS angstrom
4.190 0.000 0.000
0.000 4.190 0.000
0.000 0.000 16.870
```

=====

Pm2Nd3Pd2: relaxed, PBE. Values from VASP.

Values from the calculation:
Formation enthalpy at 0 K in kJ/mol of formula units: -303.9
Volume in Å³/f.u.: 205
Space group: No. 12

```
&SYSTEM
  ibrav = 0, nat = 7, ntyp = 3
/
ATOMIC_SPECIES
Pm 145.00 Pm.upf
Nd 144.24 Nd.upf
Pd 106.42 Pd.upf
ATOMIC_POSITIONS crystal
Pm 0.158 0.158 0.311
Pm 0.842 0.842 0.689
Nd 0.385 0.385 0.060
Nd 0.500 0.500 0.500
Nd 0.615 0.615 0.940
Pd 0.167 0.167 0.729
Pd 0.833 0.833 0.271
CELL_PARAMETERS angstrom
6.295 -1.939 0.000
6.295 1.939 0.000
-3.958 0.000 8.378
```

=====

Pm2Nd2Pd15: relaxed, PBE. Values from VASP.

Values from the calculation:
Formation enthalpy at 0 K in kJ/mol of formula units: -993.0
Volume in Å³/f.u.: 356
Space group: No. 166

```
&SYSTEM
  ibrav = 0, nat = 19, ntyp = 3
/
ATOMIC_SPECIES
Pm 145.00 Pm.upf
Nd 144.24 Nd.upf
Pd 106.42 Pd.upf
ATOMIC_POSITIONS crystal
Pm 0.109 0.109 0.109
Pm 0.891 0.891 0.891
Nd 0.363 0.363 0.363
Nd 0.637 0.637 0.637
Pd 0.000 0.000 0.500
Pd 0.000 0.311 0.689
Pd 0.000 0.500 0.000
Pd 0.000 0.689 0.311
Pd 0.163 0.650 0.650
Pd 0.311 0.000 0.689
Pd 0.311 0.689 0.000
Pd 0.350 0.350 0.837
Pd 0.350 0.837 0.350
Pd 0.500 0.000 0.000
Pd 0.650 0.163 0.650
Pd 0.650 0.650 0.163
Pd 0.689 0.000 0.311
Pd 0.689 0.311 0.000
Pd 0.837 0.350 0.350
CELL_PARAMETERS angstrom
4.657 2.689 4.738
-4.657 2.689 4.738
0.000 -5.378 4.738
```

=====

Pm5Nd2Pd4: relaxed, PBE. Values from VASP.

Values from the calculation:
Formation enthalpy at 0 K in kJ/mol of formula units: -367.2
Volume in Å³/f.u.: 323
Space group: No. 12

```
&SYSTEM
  ibrav = 0, nat = 11, ntyp = 3
/
ATOMIC_SPECIES
Pm 145.00 Pm.upf
Nd 144.24 Nd.upf
Pd 106.42 Pd.upf
ATOMIC_POSITIONS crystal
Pm 0.000 0.000 0.000
Pm 0.266 0.266 0.251
Pm 0.367 0.367 0.823
Pm 0.633 0.633 0.177
Pm 0.734 0.734 0.749
Nd 0.408 0.408 0.335
Nd 0.592 0.592 0.665
Pd 0.172 0.172 0.486
Pd 0.475 0.475 0.684
Pd 0.525 0.525 0.316
Pd 0.828 0.828 0.514
CELL_PARAMETERS angstrom
12.684 -1.833 0.000
12.684 1.833 0.000
-0.255 0.000 6.953
```

=====

Pm2NdPd3: relaxed, PBE. Values from VASP.

Values from the calculation:
Formation enthalpy at 0 K in kJ/mol of formula units: -437.5
Volume in Å³/f.u.: 141
Space group: No. 123

```
&SYSTEM
  ibrav = 0, nat = 6, ntyp = 3
/
ATOMIC_SPECIES
Pm 145.00 Pm.upf
Nd 144.24 Nd.upf
Pd 106.42 Pd.upf
ATOMIC_POSITIONS crystal
Pm 0.000 0.000 0.166
Pm 0.000 0.000 0.834
Nd 0.000 0.000 0.500
Pd 0.500 0.500 0.000
Pd 0.500 0.500 0.330
Pd 0.500 0.500 0.670
CELL_PARAMETERS angstrom
3.607 0.000 0.000
0.000 3.607 0.000
0.000 0.000 10.828
```

=====

Pm3NdPd: relaxed, PBE. Values from VASP.

Values from the calculation:
Formation enthalpy at 0 K in kJ/mol of formula units: -106.4
Volume in Å³/f.u.: 164
Space group: No. 12
Distance to the lowest polymorph of the same formula in meV/atom: 91

```
&SYSTEM
  ibrav = 0, nat = 10, ntyp = 3
/
ATOMIC_SPECIES
Pm 145.00 Pm.upf
Nd 144.24 Nd.upf
Pd 106.42 Pd.upf
ATOMIC_POSITIONS crystal
Pm 0.053 0.053 0.336
Pm 0.060 0.451 0.220
Pm 0.451 0.060 0.220
Pm 0.549 0.940 0.780
Pm 0.940 0.549 0.780
Pm 0.947 0.947 0.664
Nd 0.443 0.443 0.730
Nd 0.557 0.557 0.270
Pd 0.250 0.250 0.877
Pd 0.750 0.750 0.123
CELL_PARAMETERS angstrom
6.101 -4.405 0.000
6.101 4.405 0.000
-5.764 0.000 6.103
```

=====

Pm2NdPd: relaxed, PBE. Values from VASP.

Values from the calculation:
Formation enthalpy at 0 K in kJ/mol of formula units: -132.0
Volume in Å³/f.u.: 117
Space group: No. 123
Distance to the lowest polymorph of the same formula in meV/atom: 73

```
&SYSTEM
  ibrav = 0, nat = 4, ntyp = 3
/
ATOMIC_SPECIES
Pm 145.00 Pm.upf
Nd 144.24 Nd.upf
Pd 106.42 Pd.upf
ATOMIC_POSITIONS crystal
Pm 0.000 0.000 0.197
Pm 0.000 0.000 0.803
Nd 0.500 0.500 0.500
Pd 0.500 0.500 0.000
CELL_PARAMETERS angstrom
3.674 0.000 0.000
0.000 3.674 0.000
0.000 0.000 8.683
```

=====

Pm2Nd5Pd4: relaxed, PBE. Values from VASP.

Values from the calculation:
Formation enthalpy at 0 K in kJ/mol of formula units: -360.7
Volume in Å³/f.u.: 326
Space group: No. 12

```
&SYSTEM
  ibrav = 0, nat = 11, ntyp = 3
/
ATOMIC_SPECIES
Pm 145.00 Pm.upf
Nd 144.24 Nd.upf
Pd 106.42 Pd.upf
ATOMIC_POSITIONS crystal
Pm 0.091 0.091 0.160
Pm 0.909 0.909 0.840
Nd 0.133 0.133 0.673
Nd 0.233 0.233 0.250
Nd 0.500 0.500 0.500
Nd 0.767 0.767 0.750
Nd 0.867 0.867 0.327
Pd 0.025 0.025 0.817
Pd 0.329 0.329 0.014
Pd 0.671 0.671 0.986
Pd 0.975 0.975 0.183
CELL_PARAMETERS angstrom
12.717 -1.836 0.000
12.717 1.836 0.000
-0.185 0.000 6.983
```

=====

Pm5NdPd3: relaxed, PBE. Values from VASP.

Values from the calculation:
Formation enthalpy at 0 K in kJ/mol of formula units: -298.7
Volume in Å³/f.u.: 300
Space group: No. 12

```
&SYSTEM
  ibrav = 0, nat = 18, ntyp = 3
/
ATOMIC_SPECIES
Pm 145.00 Pm.upf
Nd 144.24 Nd.upf
Pd 106.42 Pd.upf
ATOMIC_POSITIONS crystal
Pm 0.071 0.071 0.370
Pm 0.134 0.535 0.333
Pm 0.199 0.801 0.000
Pm 0.267 0.267 0.968
Pm 0.465 0.866 0.667
Pm 0.535 0.134 0.333
Pm 0.733 0.733 0.032
Pm 0.801 0.199 0.000
Pm 0.866 0.465 0.667
Pm 0.929 0.929 0.630
Nd 0.396 0.396 0.698
Nd 0.604 0.604 0.302
Pd 0.163 0.163 0.669
Pd 0.167 0.167 0.167
Pd 0.500 0.500 0.000
Pd 0.500 0.500 0.500
Pd 0.833 0.833 0.833
Pd 0.837 0.837 0.331
CELL_PARAMETERS angstrom
6.448 -4.851 0.000
6.448 4.851 0.000
-4.576 0.000 9.595
```

=====

PmNdPd10: relaxed, PBE. Values from VASP.

Values from the calculation:
Formation enthalpy at 0 K in kJ/mol of formula units: -602.0
Volume in Å³/f.u.: 223
Space group: No. 47

```
&SYSTEM
  ibrav = 0, nat = 12, ntyp = 3
/
ATOMIC_SPECIES
Pm 145.00 Pm.upf
Nd 144.24 Nd.upf
Pd 106.42 Pd.upf
ATOMIC_POSITIONS crystal
Pm 0.000 0.000 0.000
Nd 0.000 0.500 0.500
Pd 0.000 0.000 0.333
Pd 0.000 0.000 0.667
Pd 0.000 0.500 0.166
Pd 0.000 0.500 0.834
Pd 0.500 0.000 0.500
Pd 0.500 0.250 0.250
Pd 0.500 0.250 0.750
Pd 0.500 0.500 0.000
Pd 0.500 0.750 0.250
Pd 0.500 0.750 0.750
CELL_PARAMETERS angstrom
4.500 0.000 0.000
0.000 5.353 0.000
0.000 0.000 9.259
```

=====

PmNdPd4: relaxed, PBE. Values from VASP.

Values from the calculation:
Formation enthalpy at 0 K in kJ/mol of formula units: -444.9
Volume in Å³/f.u.: 119
Space group: No. 216
Distance to the lowest polymorph of the same formula in meV/atom: 35

```
&SYSTEM
  ibrav = 0, nat = 6, ntyp = 3
/
ATOMIC_SPECIES
Pm 145.00 Pm.upf
Nd 144.24 Nd.upf
Pd 106.42 Pd.upf
ATOMIC_POSITIONS crystal
Pm 0.000 0.000 0.000
Nd 0.250 0.250 0.250
Pd 0.125 0.625 0.625
Pd 0.625 0.125 0.625
Pd 0.625 0.625 0.125
Pd 0.625 0.625 0.625
CELL_PARAMETERS angstrom
0.000 3.905 3.905
3.905 0.000 3.905
3.905 3.905 0.000
```

=====

PmNdPdRh: relaxed, PBE. Values from VASP.

Values from the calculation:
Formation enthalpy at 0 K in kJ/mol of formula units: -277.6
Volume in Å³/f.u.: 91
Space group: No. 216
Distance to the lowest polymorph of the same formula in meV/atom: 48

```
&SYSTEM
  ibrav = 0, nat = 4, ntyp = 4
/
ATOMIC_SPECIES
Pm 145.00 Pm.upf
Nd 144.24 Nd.upf
Pd 106.42 Pd.upf
Rh 102.91 Rh.upf
ATOMIC_POSITIONS crystal
Pm 0.000 0.000 0.000
Nd 0.500 0.500 0.500
Pd 0.750 0.750 0.750
Rh 0.250 0.250 0.250
CELL_PARAMETERS angstrom
0.000 3.567 3.567
3.567 0.000 3.567
3.567 3.567 0.000
```

=====

PmNdPdRh: relaxed, PBE. Values from VASP.

Values from the calculation:
Formation enthalpy at 0 K in kJ/mol of formula units: -296.1
Volume in Å³/f.u.: 94
Space group: No. 38
Distance to the lowest polymorph of the same formula in meV/atom: 0

```
&SYSTEM
  ibrav = 0, nat = 4, ntyp = 4
/
ATOMIC_SPECIES
Pm 145.00 Pm.upf
Nd 144.24 Nd.upf
Pd 106.42 Pd.upf
Rh 102.91 Rh.upf
ATOMIC_POSITIONS crystal
Pm 0.000 0.000 0.000
Nd 0.500 0.277 0.277
Pd 0.000 0.720 0.720
Rh 0.500 0.546 0.546
CELL_PARAMETERS angstrom
4.507 0.000 0.000
0.000 1.931 5.407
0.000 -1.931 5.407
```

=====

PmNdPdRu: relaxed, PBE. Values from VASP.

Values from the calculation:
Formation enthalpy at 0 K in kJ/mol of formula units: -174.4
Volume in Å³/f.u.: 90
Space group: No. 216
Distance to the lowest polymorph of the same formula in meV/atom: 39

```
&SYSTEM
  ibrav = 0, nat = 4, ntyp = 4
/
ATOMIC_SPECIES
Pm 145.00 Pm.upf
Nd 144.24 Nd.upf
Pd 106.42 Pd.upf
Ru 101.07 Ru.upf
ATOMIC_POSITIONS crystal
Pm 0.000 0.000 0.000
Nd 0.500 0.500 0.500
Pd 0.750 0.750 0.750
Ru 0.250 0.250 0.250
CELL_PARAMETERS angstrom
0.000 3.554 3.554
3.554 0.000 3.554
3.554 3.554 0.000
```

=====

PmNdPdRu: relaxed, PBE. Values from VASP.

Values from the calculation:
Formation enthalpy at 0 K in kJ/mol of formula units: -189.4
Volume in Å³/f.u.: 90
Space group: No. 99
Distance to the lowest polymorph of the same formula in meV/atom: 0

```
&SYSTEM
  ibrav = 0, nat = 4, ntyp = 4
/
ATOMIC_SPECIES
Pm 145.00 Pm.upf
Nd 144.24 Nd.upf
Pd 106.42 Pd.upf
Ru 101.07 Ru.upf
ATOMIC_POSITIONS crystal
Pm 0.000 0.000 0.000
Nd 0.000 0.000 0.521
Pd 0.500 0.500 0.256
Ru 0.500 0.500 0.763
CELL_PARAMETERS angstrom
3.509 0.000 0.000
0.000 3.509 0.000
0.000 0.000 7.309
```

=====

PmNdSbPd: relaxed, PBE. Values from VASP.

Values from the calculation:
Volume in Å³/f.u.: 105
Space group: No. 216
Formation energy without anion corrections in eV per formula unit: -3.132

```
&SYSTEM
  ibrav = 0, nat = 4, ntyp = 4
/
ATOMIC_SPECIES
Pm 145.00 Pm.upf
Nd 144.24 Nd.upf
Sb 121.76 Sb.upf
Pd 106.42 Pd.upf
ATOMIC_POSITIONS crystal
Pm 0.000 0.000 0.000
Nd 0.500 0.500 0.500
Sb 0.250 0.250 0.250
Pd 0.750 0.750 0.750
CELL_PARAMETERS angstrom
0.000 3.747 3.747
3.747 0.000 3.747
3.747 3.747 0.000
```

=====

PmNdZnPd: relaxed, PBE. Values from VASP.

Values from the calculation:
Formation enthalpy at 0 K in kJ/mol of formula units: -209.7
Volume in Å³/f.u.: 100
Space group: No. 38
Distance to the lowest polymorph of the same formula in meV/atom: 0

```
&SYSTEM
  ibrav = 0, nat = 4, ntyp = 4
/
ATOMIC_SPECIES
Pm 145.00 Pm.upf
Nd 144.24 Nd.upf
Zn 65.41 Zn.upf
Pd 106.42 Pd.upf
ATOMIC_POSITIONS crystal
Pm 0.000 0.000 0.000
Nd 0.500 0.719 0.719
Zn 0.000 0.285 0.285
Pd 0.500 0.430 0.430
CELL_PARAMETERS angstrom
4.589 0.000 0.000
0.000 1.967 5.545
0.000 -1.967 5.545
```

=====

PmNdZnPd: relaxed, PBE. Values from VASP.

Values from the calculation:
Formation enthalpy at 0 K in kJ/mol of formula units: -196.7
Volume in Å³/f.u.: 97
Space group: No. 216
Distance to the lowest polymorph of the same formula in meV/atom: 34

```
&SYSTEM
  ibrav = 0, nat = 4, ntyp = 4
/
ATOMIC_SPECIES
Pm 145.00 Pm.upf
Nd 144.24 Nd.upf
Zn 65.41 Zn.upf
Pd 106.42 Pd.upf
ATOMIC_POSITIONS crystal
Pm 0.000 0.000 0.000
Nd 0.500 0.500 0.500
Zn 0.750 0.750 0.750
Pd 0.250 0.250 0.250
CELL_PARAMETERS angstrom
0.000 3.645 3.645
3.645 0.000 3.645
3.645 3.645 0.000
```

=====

PrNd6Pd3: relaxed, PBE. Values from VASP.

Values from the calculation:
Formation enthalpy at 0 K in kJ/mol of formula units: -410.5
Volume in Å³/f.u.: 300
Space group: No. 36

```
&SYSTEM
  ibrav = 0, nat = 20, ntyp = 3
/
ATOMIC_SPECIES
Pr 140.91 Pr.upf
Nd 144.24 Nd.upf
Pd 106.42 Pd.upf
ATOMIC_POSITIONS crystal
Pr 0.178 0.822 0.500
Pr 0.822 0.178 0.000
Nd 0.080 0.468 0.713
Nd 0.129 0.214 0.368
Nd 0.214 0.129 0.868
Nd 0.267 0.733 0.020
Nd 0.464 0.536 0.378
Nd 0.468 0.080 0.213
Nd 0.532 0.920 0.713
Nd 0.536 0.464 0.878
Nd 0.733 0.267 0.520
Nd 0.786 0.871 0.368
Nd 0.871 0.786 0.868
Nd 0.920 0.532 0.213
Pd 0.068 0.932 0.161
Pd 0.222 0.412 0.078
Pd 0.412 0.222 0.578
Pd 0.588 0.778 0.078
Pd 0.778 0.588 0.578
Pd 0.932 0.068 0.661
CELL_PARAMETERS angstrom
5.967 -6.778 0.000
5.967 6.778 0.000
0.000 0.000 7.412
```

=====

PrNdPd3: relaxed, PBE. Values from VASP.

Values from the calculation:
Formation enthalpy at 0 K in kJ/mol of formula units: -354.4
Volume in Å³/f.u.: 118
Space group: No. 63
Distance to the lowest polymorph of the same formula in meV/atom: 24

```
&SYSTEM
  ibrav = 0, nat = 10, ntyp = 3
/
ATOMIC_SPECIES
Pr 140.91 Pr.upf
Nd 144.24 Nd.upf
Pd 106.42 Pd.upf
ATOMIC_POSITIONS crystal
Pr 0.203 0.797 0.750
Pr 0.797 0.203 0.250
Nd 0.070 0.930 0.250
Nd 0.930 0.070 0.750
Pd 0.318 0.682 0.750
Pd 0.379 0.621 0.250
Pd 0.474 0.526 0.250
Pd 0.526 0.474 0.750
Pd 0.621 0.379 0.750
Pd 0.682 0.318 0.250
CELL_PARAMETERS angstrom
1.946 -13.713 0.000
1.946 13.713 0.000
0.000 0.000 4.411
```

=====

PrNdPd3: relaxed, PBE. Values from VASP.

Values from the calculation:
Formation enthalpy at 0 K in kJ/mol of formula units: -365.8
Volume in Å³/f.u.: 114
Space group: No. 58
Distance to the lowest polymorph of the same formula in meV/atom: 0

```
&SYSTEM
  ibrav = 0, nat = 20, ntyp = 3
/
ATOMIC_SPECIES
Pr 140.91 Pr.upf
Nd 144.24 Nd.upf
Pd 106.42 Pd.upf
ATOMIC_POSITIONS crystal
Pr 0.218 0.137 0.000
Pr 0.282 0.637 0.500
Pr 0.718 0.363 0.500
Pr 0.782 0.863 0.000
Nd 0.217 0.136 0.500
Nd 0.283 0.636 0.000
Nd 0.717 0.364 0.000
Nd 0.783 0.864 0.500
Pd 0.000 0.500 0.247
Pd 0.000 0.500 0.753
Pd 0.116 0.857 0.250
Pd 0.116 0.857 0.750
Pd 0.384 0.357 0.250
Pd 0.384 0.357 0.750
Pd 0.500 0.000 0.253
Pd 0.500 0.000 0.747
Pd 0.616 0.643 0.250
Pd 0.616 0.643 0.750
Pd 0.884 0.143 0.250
Pd 0.884 0.143 0.750
CELL_PARAMETERS angstrom
7.035 0.000 0.000
0.000 8.010 0.000
0.000 0.000 8.085
```

=====

Pr3Nd3Pd2: relaxed, PBE. Values from VASP.

Values from the calculation:
Formation enthalpy at 0 K in kJ/mol of formula units: -243.7
Volume in Å³/f.u.: 245
Space group: No. 63

```
&SYSTEM
  ibrav = 0, nat = 16, ntyp = 3
/
ATOMIC_SPECIES
Pr 140.91 Pr.upf
Nd 144.24 Nd.upf
Pd 106.42 Pd.upf
ATOMIC_POSITIONS crystal
Pr 0.061 0.939 0.611
Pr 0.061 0.939 0.889
Pr 0.364 0.636 0.750
Pr 0.636 0.364 0.250
Pr 0.939 0.061 0.111
Pr 0.939 0.061 0.389
Nd 0.353 0.647 0.539
Nd 0.353 0.647 0.961
Nd 0.368 0.632 0.250
Nd 0.632 0.368 0.750
Nd 0.647 0.353 0.039
Nd 0.647 0.353 0.461
Pd 0.232 0.768 0.131
Pd 0.232 0.768 0.369
Pd 0.768 0.232 0.631
Pd 0.768 0.232 0.869
CELL_PARAMETERS angstrom
1.999 -6.437 0.000
1.999 6.437 0.000
0.000 0.000 19.055
```

=====

PrNdPd: relaxed, PBE. Values from VASP.

Values from the calculation:
Formation enthalpy at 0 K in kJ/mol of formula units: -102.2
Volume in Å³/f.u.: 92
Space group: No. 216
Distance to the lowest polymorph of the same formula in meV/atom: 106

```
&SYSTEM
  ibrav = 0, nat = 3, ntyp = 3
/
ATOMIC_SPECIES
Pr 140.91 Pr.upf
Nd 144.24 Nd.upf
Pd 106.42 Pd.upf
ATOMIC_POSITIONS crystal
Pr 0.000 0.000 0.000
Nd 0.500 0.500 0.500
Pd 0.750 0.750 0.750
CELL_PARAMETERS angstrom
0.000 3.581 3.581
3.581 0.000 3.581
3.581 3.581 0.000
```